Computed, not measured: an optimized crystal structure of KMnSi3 at the GGA-PBE level of DFT.

Energy relative to the elements, uncorrected: 23.3 kJ per mole of atoms
Raw total energy: -25.33 eV/cell

Unit cell a=4.5243 b=4.5243 c=4.5243 alpha=90.00 beta=90.00 gamma=90.00
Closest atoms and distances in Å follow each position.
Sites, in units of the cell vectors:
K1 0.0000 0.0000 0.0000  12 Si 3.20
Mn1 0.5000 0.5000 0.5000  6 Si 2.26
Si1 0.0000 0.5000 0.5000  2 Mn 2.26
Si2 0.5000 0.0000 0.5000  2 Mn 2.26
Si3 0.5000 0.5000 0.0000  2 Mn 2.26